Arrangement i

Compound: LiNi2Mo
Source: Alexandria
Functional: SCAN
Structure: PBEsol geometry

Geometry as CIF:
```
data_LiNi2Mo
_chemical_formula_sum 'Li1 Ni2 Mo1'
_cell_length_a 2.5190
_cell_length_b 2.5190
_cell_length_c 7.7843
_cell_angle_alpha 90.00
_cell_angle_beta 90.00
_cell_angle_gamma 90.00
_symmetry_space_group_name_H-M 'P 4 m m'
_symmetry_Int_Tables_number 99
loop_
_symmetry_equiv_pos_as_xyz
'x,y,z'
'-y,x,z'
'-x,-y,z'
'y,-x,z'
'-x,y,z'
'y,x,z'
'x,-y,z'
'-y,-x,z'
loop_
_atom_site_label
_atom_site_type_symbol
_atom_site_fract_x
_atom_site_fract_y
_atom_site_fract_z
Li1 Li 0.0000 0.0000 0.0000
Ni1 Ni 0.0000 0.0000 0.4465
Ni2 Ni 0.5000 0.5000 0.2338
Mo1 Mo 0.5000 0.5000 0.6896
```

=====

Arrangement ii

Compound: LiNi2Mo
Source: Alexandria
Functional: SCAN
Structure: PBEsol geometry

Geometry as CIF:
```
data_LiNi2Mo
_chemical_formula_sum 'Li4 Ni8 Mo4'
_cell_length_a 5.6656
_cell_length_b 5.6656
_cell_length_c 5.6656
_cell_angle_alpha 90.00
_cell_angle_beta 90.00
_cell_angle_gamma 90.00
_symmetry_space_group_name_H-M 'F -4 3 m'
_symmetry_Int_Tables_number 216
_symmetry_space_group_name_Hall 'F -4 2 3'
loop_
_atom_site_label
_atom_site_type_symbol
_atom_site_fract_x
_atom_site_fract_y
_atom_site_fract_z
Li1 Li 0.0000 0.0000 0.0000
Ni1 Ni 0.0000 0.0000 0.5000
Ni2 Ni 0.2500 0.2500 0.2500
Mo1 Mo 0.2500 0.2500 0.7500
```

=====

Arrangement iii

Compound: LiNi2Mo
Source: Alexandria
Functional: SCAN
Structure: PBEsol geometry

Geometry as CIF:
```
data_LiNi2Mo
_chemical_formula_sum 'Li1 Ni2 Mo1'
_cell_length_a 2.6373
_cell_length_b 2.6373
_cell_length_c 6.7646
_cell_angle_alpha 90.00
_cell_angle_beta 90.00
_cell_angle_gamma 90.00
_symmetry_space_group_name_H-M 'P 4/m m m'
_symmetry_Int_Tables_number 123
_symmetry_space_group_name_Hall '-P 4 2'
loop_
_atom_site_label
_atom_site_type_symbol
_atom_site_fract_x
_atom_site_fract_y
_atom_site_fract_z
Li1 Li 0.0000 0.0000 0.0000
Ni1 Ni 0.5000 0.5000 0.2384
Mo1 Mo 0.0000 0.0000 0.5000
```

=====

Which of them is most stable? Easy: arrangement iii.

=====

Arrangement i

Compound: LiNiMo2
Source: Alexandria
Functional: SCAN
Structure: PBEsol geometry

Geometry as CIF:
```
data_LiNiMo2
_chemical_formula_sum 'Li2 Ni2 Mo4'
_cell_length_a 3.5916
_cell_length_b 3.5916
_cell_length_c 8.0590
_cell_angle_alpha 90.00
_cell_angle_beta 90.00
_cell_angle_gamma 90.00
_symmetry_space_group_name_H-M 'I 4/m m m'
_symmetry_Int_Tables_number 139
_symmetry_space_group_name_Hall '-I 4 2'
loop_
_atom_site_label
_atom_site_type_symbol
_atom_site_fract_x
_atom_site_fract_y
_atom_site_fract_z
Li1 Li 0.0000 0.0000 0.0000
Ni1 Ni 0.0000 0.0000 0.5000
Mo1 Mo 0.0000 0.5000 0.2500
```

=====

Arrangement ii

Compound: LiNiMo2
Source: Alexandria
Functional: SCAN
Structure: PBEsol geometry

Geometry as CIF:
```
data_LiNiMo2
_chemical_formula_sum 'Li1 Ni1 Mo2'
_cell_length_a 4.8011
_cell_length_b 2.5199
_cell_length_c 4.8830
_cell_angle_alpha 90.00
_cell_angle_beta 112.88
_cell_angle_gamma 90.00
_symmetry_space_group_name_H-M 'P 1 2/m 1'
_symmetry_Int_Tables_number 10
loop_
_symmetry_equiv_pos_as_xyz
'x,y,z'
'-x,-y,-z'
'-x,y,-z'
'x,-y,z'
loop_
_atom_site_label
_atom_site_type_symbol
_atom_site_fract_x
_atom_site_fract_y
_atom_site_fract_z
Li1 Li 0.0000 0.0000 0.0000
Ni1 Ni 0.5000 0.5000 0.0000
Mo1 Mo 0.0000 0.5000 0.5000
Mo2 Mo 0.5000 0.0000 0.5000
```

=====

Which of them is most stable? Easy: arrangement i.

=====

Arrangement i

Compound: LiNiMo2
Source: Alexandria
Functional: SCAN
Structure: PBEsol geometry

Geometry as CIF:
```
data_LiNiMo2
_chemical_formula_sum 'Li1 Ni1 Mo2'
_cell_length_a 3.0993
_cell_length_b 4.0001
_cell_length_c 4.2486
_cell_angle_alpha 90.00
_cell_angle_beta 90.00
_cell_angle_gamma 90.00
_symmetry_space_group_name_H-M 'P m m m'
_symmetry_Int_Tables_number 47
loop_
_symmetry_equiv_pos_as_xyz
'x,y,z'
'-x,-y,-z'
'-x,-y,z'
'x,y,-z'
'x,-y,-z'
'-x,y,z'
'-x,y,-z'
'x,-y,z'
loop_
_atom_site_label
_atom_site_type_symbol
_atom_site_fract_x
_atom_site_fract_y
_atom_site_fract_z
Li1 Li 0.0000 0.0000 0.0000
Ni1 Ni 0.5000 0.5000 0.0000
Mo1 Mo 0.0000 0.5000 0.5000
Mo2 Mo 0.5000 0.0000 0.5000
```

=====

Arrangement ii

Compound: LiNiMo2
Source: Alexandria
Functional: SCAN
Structure: PBEsol geometry

Geometry as CIF:
```
data_LiNiMo2
_chemical_formula_sum 'Li4 Ni4 Mo8'
_cell_length_a 5.9632
_cell_length_b 5.9632
_cell_length_c 5.9632
_cell_angle_alpha 90.00
_cell_angle_beta 90.00
_cell_angle_gamma 90.00
_symmetry_space_group_name_H-M 'F -4 3 m'
_symmetry_Int_Tables_number 216
_symmetry_space_group_name_Hall 'F -4 2 3'
loop_
_atom_site_label
_atom_site_type_symbol
_atom_site_fract_x
_atom_site_fract_y
_atom_site_fract_z
Li1 Li 0.0000 0.0000 0.0000
Ni1 Ni 0.2500 0.2500 0.2500
Mo1 Mo 0.0000 0.0000 0.5000
Mo2 Mo 0.2500 0.2500 0.7500
```

=====

Which of them is most stable? Easy: arrangement i.

=====

Arrangement i

Compound: Li2MoO3
Source: Alexandria
Functional: SCAN
Structure: PBEsol geometry

Geometry as CIF:
```
data_Li2MoO3
_chemical_formula_sum 'Li32 Mo16 O48'
_cell_length_a 8.2527
_cell_length_b 8.2293
_cell_length_c 12.8498
_cell_angle_alpha 90.00
_cell_angle_beta 105.61
_cell_angle_gamma 90.00
_symmetry_space_group_name_H-M 'C 1 2 1'
_symmetry_Int_Tables_number 5
loop_
_symmetry_equiv_pos_as_xyz
'x,y,z'
'-x,y,-z'
'x+1/2,y+1/2,z'
'-x+1/2,y+1/2,-z'
loop_
_atom_site_label
_atom_site_type_symbol
_atom_site_fract_x
_atom_site_fract_y
_atom_site_fract_z
Li1 Li 0.0032 0.0000 0.2516
Li2 Li 0.0804 0.2370 0.9242
Li3 Li 0.0897 0.7802 0.4189
Li4 Li 0.1505 0.0269 0.5743
Li5 Li 0.1678 0.5163 0.5764
Li6 Li 0.1746 0.0114 0.0892
Li7 Li 0.1766 0.5003 0.0789
Li8 Li 0.2458 0.7625 0.2523
Mo1 Mo 0.0164 0.4902 0.2556
Mo2 Mo 0.0717 0.7624 0.9296
Mo3 Mo 0.0843 0.2676 0.4038
Mo4 Mo 0.2360 0.2681 0.2550
O1 O 0.0070 0.7493 0.7547
O2 O 0.0166 0.2424 0.7615
O3 O 0.0675 0.5163 0.9053
O4 O 0.0746 0.9886 0.9165
O5 O 0.0859 0.0359 0.4141
O6 O 0.0871 0.5170 0.4141
O7 O 0.1484 0.2730 0.5746
O8 O 0.1689 0.7750 0.5849
O9 O 0.1803 0.7556 0.0854
O10 O 0.1833 0.2568 0.0917
O11 O 0.2315 0.5228 0.7440
O12 O 0.2462 0.0092 0.7473
```

=====

Arrangement ii

Compound: Li2MoO3
Source: Alexandria
Functional: SCAN
Structure: PBEsol geometry

Geometry as CIF:
```
data_Li2MoO3
_chemical_formula_sum 'Li8 Mo4 O12'
_cell_length_a 5.1352
_cell_length_b 8.4038
_cell_length_c 5.2099
_cell_angle_alpha 90.00
_cell_angle_beta 108.22
_cell_angle_gamma 90.00
_symmetry_space_group_name_H-M 'C 1 2/m 1'
_symmetry_Int_Tables_number 12
loop_
_symmetry_equiv_pos_as_xyz
'x,y,z'
'-x,-y,-z'
'-x,y,-z'
'x,-y,z'
'x+1/2,y+1/2,z'
'-x+1/2,-y+1/2,-z'
'-x+1/2,y+1/2,-z'
'x+1/2,-y+1/2,z'
loop_
_atom_site_label
_atom_site_type_symbol
_atom_site_fract_x
_atom_site_fract_y
_atom_site_fract_z
Li1 Li 0.0000 0.0000 0.0000
Li2 Li 0.0000 0.1620 0.5000
Li3 Li 0.0000 0.5000 0.5000
Mo1 Mo 0.0000 0.3574 0.0000
O1 O 0.2420 0.0000 0.7297
O2 O 0.2449 0.3266 0.7764
```

=====

Arrangement iii

Compound: Li2MoO3
Source: Alexandria
Functional: SCAN
Structure: PBEsol geometry

Geometry as CIF:
```
data_Li2MoO3
_chemical_formula_sum 'Li16 Mo8 O24'
_cell_length_a 5.7472
_cell_length_b 8.3001
_cell_length_c 10.0683
_cell_angle_alpha 68.07
_cell_angle_beta 73.81
_cell_angle_gamma 89.88
_symmetry_space_group_name_H-M 'P -1'
_symmetry_Int_Tables_number 2
loop_
_symmetry_equiv_pos_as_xyz
'x,y,z'
'-x,-y,-z'
loop_
_atom_site_label
_atom_site_type_symbol
_atom_site_fract_x
_atom_site_fract_y
_atom_site_fract_z
Li1 Li 0.0000 0.0000 0.0000
Li2 Li 0.0000 0.0000 0.5000
Li3 Li 0.0000 0.5000 0.0000
Li4 Li 0.0000 0.5000 0.5000
Li5 Li 0.1528 0.1865 0.1513
Li6 Li 0.1624 0.6588 0.6830
Li7 Li 0.3267 0.3382 0.3279
Li8 Li 0.3282 0.3374 0.8373
Li9 Li 0.3323 0.8318 0.8404
Li10 Li 0.5000 0.0000 0.0000
Li11 Li 0.5000 0.5000 0.5000
Mo1 Mo 0.1349 0.1703 0.6756
Mo2 Mo 0.1534 0.6842 0.1726
Mo3 Mo 0.3075 0.8278 0.3257
Mo4 Mo 0.5000 0.0000 0.5000
Mo5 Mo 0.5000 0.5000 0.0000
O1 O 0.0021 0.7474 0.4991
O2 O 0.0104 0.7466 0.0145
O3 O 0.1628 0.4163 0.6658
O4 O 0.1709 0.4350 0.1603
O5 O 0.1738 0.9316 0.6632
O6 O 0.1745 0.9453 0.1468
O7 O 0.3256 0.5841 0.3345
O8 O 0.3313 0.0659 0.3386
O9 O 0.3462 0.0980 0.8153
O10 O 0.3505 0.5793 0.8469
O11 O 0.4865 0.7383 0.0143
O12 O 0.4902 0.2443 0.5150
```

=====

Which of them is most stable? Easy: arrangement i.

=====

Arrangement i

Compound: Li3MoP2O8
Source: Alexandria
Functional: SCAN
Structure: PBEsol geometry

Geometry as CIF:
```
data_Li3MoP2O8
_chemical_formula_sum 'Li6 Mo2 P4 O16'
_cell_length_a 4.9151
_cell_length_b 8.9590
_cell_length_c 7.7592
_cell_angle_alpha 90.00
_cell_angle_beta 125.30
_cell_angle_gamma 90.00
_symmetry_space_group_name_H-M 'P 1 21/c 1'
_symmetry_Int_Tables_number 14
loop_
_symmetry_equiv_pos_as_xyz
'x,y,z'
'-x,-y,-z'
'-x,y+1/2,-z+1/2'
'x,-y+1/2,z+1/2'
loop_
_atom_site_label
_atom_site_type_symbol
_atom_site_fract_x
_atom_site_fract_y
_atom_site_fract_z
Li1 Li 0.0000 0.0000 0.0000
Li2 Li 0.3168 0.1383 0.8083
Mo1 Mo 0.5000 0.0000 0.5000
P1 P 0.1953 0.6828 0.2197
O1 O 0.1398 0.1339 0.4870
O2 O 0.1654 0.6450 0.7434
O3 O 0.2553 0.5984 0.4083
O4 O 0.4871 0.6533 0.1980
```

=====

Arrangement ii

Compound: Li3MoP2O8
Source: Alexandria
Functional: SCAN
Structure: PBEsol geometry

Geometry as CIF:
```
data_Li3MoP2O8
_chemical_formula_sum 'Li6 Mo2 P4 O16'
_cell_length_a 8.3030
_cell_length_b 5.4823
_cell_length_c 6.1302
_cell_angle_alpha 90.00
_cell_angle_beta 90.07
_cell_angle_gamma 90.00
_symmetry_space_group_name_H-M 'C 1 2/m 1'
_symmetry_Int_Tables_number 12
loop_
_symmetry_equiv_pos_as_xyz
'x,y,z'
'-x,-y,-z'
'-x,y,-z'
'x,-y,z'
'x+1/2,y+1/2,z'
'-x+1/2,-y+1/2,-z'
'-x+1/2,y+1/2,-z'
'x+1/2,-y+1/2,z'
loop_
_atom_site_label
_atom_site_type_symbol
_atom_site_fract_x
_atom_site_fract_y
_atom_site_fract_z
Li1 Li 0.0000 0.0000 0.0000
Li2 Li 0.1679 0.5000 0.2211
Mo1 Mo 0.0000 0.0000 0.5000
P1 P 0.1498 0.5000 0.7364
O1 O 0.0326 0.2742 0.7383
O2 O 0.2418 0.0000 0.0656
O3 O 0.2486 0.5000 0.5222
```

=====

Which of them is most stable? Easy: arrangement ii.

=====

Arrangement i

Compound: LiMo2P3O12
Source: Alexandria
Functional: SCAN
Structure: PBEsol geometry

Geometry as CIF:
```
data_LiMo2P3O12
_chemical_formula_sum 'Li2 Mo4 P6 O24'
_cell_length_a 8.5535
_cell_length_b 8.5648
_cell_length_c 8.8940
_cell_angle_alpha 90.86
_cell_angle_beta 118.55
_cell_angle_gamma 119.17
_symmetry_space_group_name_H-M 'P -1'
_symmetry_Int_Tables_number 2
loop_
_symmetry_equiv_pos_as_xyz
'x,y,z'
'-x,-y,-z'
loop_
_atom_site_label
_atom_site_type_symbol
_atom_site_fract_x
_atom_site_fract_y
_atom_site_fract_z
Li1 Li 0.1477 0.1860 0.4069
Mo1 Mo 0.2917 0.6430 0.4323
Mo2 Mo 0.2952 0.1395 0.9285
P1 P 0.2139 0.7429 0.7553
P2 P 0.2219 0.9759 0.2537
P3 P 0.4915 0.4587 0.7452
O1 O 0.0062 0.9238 0.2214
O2 O 0.0258 0.5474 0.7171
O3 O 0.1503 0.8861 0.7470
O4 O 0.2258 0.9982 0.0851
O5 O 0.2662 0.8272 0.3086
O6 O 0.2671 0.7438 0.6128
O7 O 0.3281 0.4575 0.5609
O8 O 0.3302 0.5350 0.2635
O9 O 0.3507 0.2664 0.7580
O10 O 0.3836 0.1690 0.4093
O11 O 0.4057 0.3770 0.0958
O12 O 0.4122 0.8054 0.9440
```

=====

Arrangement ii

Compound: LiMo2P3O12
Source: Alexandria
Functional: SCAN
Structure: PBEsol geometry

Geometry as CIF:
```
data_LiMo2P3O12
_chemical_formula_sum 'Li4 Mo8 P12 O48'
_cell_length_a 8.8951
_cell_length_b 9.0616
_cell_length_c 12.2484
_cell_angle_alpha 90.00
_cell_angle_beta 90.00
_cell_angle_gamma 90.00
_symmetry_space_group_name_H-M 'P b c m'
_symmetry_Int_Tables_number 57
loop_
_symmetry_equiv_pos_as_xyz
'x,y,z'
'-x,-y,-z'
'-x,-y,z+1/2'
'x,y,-z+1/2'
'x,-y+1/2,-z'
'-x,y+1/2,z'
'-x,y+1/2,-z+1/2'
'x,-y+1/2,z+1/2'
loop_
_atom_site_label
_atom_site_type_symbol
_atom_site_fract_x
_atom_site_fract_y
_atom_site_fract_z
Li1 Li 0.1350 0.2072 0.2500
Mo1 Mo 0.2471 0.5242 0.6006
P1 P 0.0323 0.2500 0.0000
P2 P 0.3999 0.6279 0.1311
O1 O 0.0594 0.6380 0.5653
O2 O 0.1318 0.1729 0.0877
O3 O 0.2100 0.5161 0.7500
O4 O 0.3021 0.5303 0.0583
O5 O 0.3429 0.5778 0.2500
O6 O 0.3700 0.7080 0.6192
O7 O 0.4329 0.1009 0.1232
```

=====

Which of them is most stable? Easy: arrangement i.